# AlBi3Ru GGA-PBE relaxed
# E above lowest polymorph (meV per atom): 0
# Volume (Å³ per atom): 29.903
# E_form (meV/atom): 600
data_AlBi3Ru
_symmetry_space_group_name_H-M 'P m -3 m'
_symmetry_Int_Tables_number 221
_symmetry_space_group_name_Hall '-P 4 2 3'
_cell_length_a 5.3076
_cell_length_b 5.3076
_cell_length_c 5.3076
_cell_angle_alpha 90.00
_cell_angle_beta 90.00
_cell_angle_gamma 90.00
loop_
_atom_site_label
_atom_site_fract_x
_atom_site_fract_y
_atom_site_fract_z
Al1 0.0000 0.0000 0.0000
Bi1 0.0000 0.5000 0.5000
Ru1 0.5000 0.5000 0.5000